(1)
Below is an optimized crystal structure of Cu7Te4, with properties calculated at the PBE level.

Values from the calculation:
symmetry	P2

Cell: 7.2088 32.6602 14.1368 Å, 90.00 90.27 90.00°
Last column: nearest neighbours and their distance in Å.
Fractional positions:
Cu1 0.1687 0.6557 0.0159  3 Cu 2.47-2.73, 2 Te 2.50-2.55
Cu2 0.1767 0.4081 0.0207  6 Cu 2.50-2.79, 3 Te 2.55-2.73
Cu3 0.9274 0.3503 0.0856  5 Cu 2.52-2.77, 3 Te 2.56-2.78
Cu4 0.9308 0.4677 0.0863  6 Cu 2.58-2.88, 4 Te 2.65-2.82
Cu5 0.9344 0.5984 0.0889  6 Cu 2.48-2.74, 1 Te 2.64
Cu6 0.3767 0.4079 0.1655  3 Cu 2.49-2.56, 4 Te 2.58-2.78
Cu7 0.0750 0.5328 0.1721  5 Cu 2.58-2.73, 4 Te 2.64-2.80
Cu8 0.4287 0.6463 0.1852  1 Cu 2.52, 3 Te 2.57-2.61
Cu9 0.1378 0.3608 0.2316  5 Cu 2.41-2.69, 2 Te 2.54
Cu10 0.1644 0.6028 0.2431  5 Cu 2.52-2.74, 3 Te 2.61-2.66
Cu11 0.7728 0.5974 0.2434  3 Cu 2.44-2.56, 3 Te 2.54-2.73
Cu12 0.1810 0.4632 0.2458  5 Cu 2.53-2.79, 3 Te 2.58-2.73
Cu13 0.8402 0.4799 0.2611  6 Cu 2.53-2.77, 3 Te 2.54-2.82
Cu14 0.8198 0.3439 0.2650  3 Cu 2.41-2.66, 2 Te 2.45-2.56
Cu15 0.9390 0.6558 0.3110  3 Cu 2.44-2.58, 3 Te 2.50-2.73
Cu16 0.6295 0.5370 0.3328  3 Cu 2.52-2.61, 4 Te 2.64-2.74
Cu17 0.9264 0.4118 0.3339  6 Cu 2.52-2.79, 3 Te 2.73-2.75
Cu18 0.0757 0.4750 0.4157  5 Cu 2.55-2.77, 3 Te 2.64-2.72
Cu19 0.0833 0.6001 0.4176  4 Cu 2.54-2.63, 4 Te 2.71-2.77
Cu20 0.0697 0.3515 0.4176  4 Cu 2.52-2.82, 3 Te 2.55-2.66
Cu21 0.8300 0.5385 0.4793  4 Cu 2.52-2.64, 3 Te 2.60-2.70
Cu22 0.1699 0.5385 0.5207  4 Cu 2.52-2.64, 3 Te 2.60-2.70
Cu23 0.9303 0.3515 0.5824  4 Cu 2.52-2.82, 3 Te 2.55-2.66
Cu24 0.9167 0.6001 0.5824  4 Cu 2.54-2.63, 4 Te 2.71-2.77
Cu25 0.9243 0.4750 0.5843  5 Cu 2.55-2.77, 3 Te 2.64-2.72
Cu26 0.0736 0.4118 0.6661  6 Cu 2.52-2.79, 3 Te 2.73-2.75
Cu27 0.3705 0.5370 0.6672  3 Cu 2.52-2.61, 4 Te 2.64-2.74
Cu28 0.0610 0.6558 0.6890  3 Cu 2.44-2.58, 3 Te 2.50-2.73
Cu29 0.1802 0.3439 0.7350  3 Cu 2.41-2.66, 2 Te 2.45-2.56
Cu30 0.1598 0.4799 0.7389  6 Cu 2.53-2.77, 3 Te 2.54-2.82
Cu31 0.8190 0.4632 0.7542  5 Cu 2.53-2.79, 3 Te 2.58-2.73
Cu32 0.2272 0.5974 0.7566  3 Cu 2.44-2.56, 3 Te 2.54-2.73
Cu33 0.8356 0.6028 0.7569  5 Cu 2.52-2.74, 3 Te 2.61-2.66
Cu34 0.8622 0.3608 0.7684  5 Cu 2.41-2.69, 2 Te 2.54
Cu35 0.5713 0.6463 0.8148  1 Cu 2.52, 3 Te 2.57-2.61
Cu36 0.9250 0.5328 0.8279  5 Cu 2.58-2.73, 4 Te 2.64-2.80
Cu37 0.6233 0.4079 0.8345  3 Cu 2.49-2.56, 4 Te 2.58-2.78
Cu38 0.0656 0.5984 0.9111  6 Cu 2.48-2.74, 1 Te 2.64
Cu39 0.0692 0.4677 0.9137  6 Cu 2.58-2.88, 4 Te 2.65-2.82
Cu40 0.0726 0.3503 0.9144  5 Cu 2.52-2.77, 3 Te 2.56-2.78
Cu41 0.8233 0.4081 0.9793  6 Cu 2.50-2.79, 3 Te 2.55-2.73
Cu42 0.8313 0.6557 0.9841  3 Cu 2.47-2.73, 2 Te 2.50-2.55
Te1 0.2972 0.5892 0.0749  4 Cu 2.50-2.64
Te2 0.2941 0.4779 0.0760  6 Cu 2.55-2.82
Te3 0.2759 0.3349 0.0780  5 Cu 2.54-2.78
Te4 0.7119 0.5331 0.1471  6 Cu 2.54-2.79
Te5 0.7604 0.6721 0.1567  4 Cu 2.55-2.73
Te6 0.7352 0.4072 0.1671  7 Cu 2.56-2.82
Te7 0.2628 0.5351 0.3358  7 Cu 2.64-2.74
Te8 0.2770 0.6661 0.3444  4 Cu 2.50-2.77
Te9 0.3046 0.4048 0.3535  5 Cu 2.54-2.75
Te10 0.7096 0.6095 0.4212  6 Cu 2.59-2.74
Te11 0.7084 0.4670 0.4268  6 Cu 2.57-2.73
Te12 0.7256 0.3347 0.4301  3 Cu 2.45-2.66
Te13 0.2744 0.3347 0.5699  3 Cu 2.45-2.66
Te14 0.2916 0.4670 0.5732  6 Cu 2.57-2.73
Te15 0.2904 0.6095 0.5788  6 Cu 2.59-2.74
Te16 0.6954 0.4048 0.6465  5 Cu 2.54-2.75
Te17 0.7230 0.6661 0.6556  4 Cu 2.50-2.77
Te18 0.7372 0.5351 0.6642  7 Cu 2.64-2.74
Te19 0.2648 0.4072 0.8329  7 Cu 2.56-2.82
Te20 0.2396 0.6721 0.8433  4 Cu 2.55-2.73
Te21 0.2881 0.5331 0.8529  6 Cu 2.54-2.79
Te22 0.7241 0.3349 0.9220  5 Cu 2.54-2.78
Te23 0.7059 0.4779 0.9240  6 Cu 2.55-2.82
Te24 0.7028 0.5892 0.9251  4 Cu 2.50-2.64


(2)
Below is an optimized crystal structure of Cu16Te, with properties calculated at the PBE level.

Values from the calculation:
symmetry	P-1

Cell: 4.3766 6.6940 27.5061 Å, 89.87 89.58 89.78°
Last column: nearest neighbours and their distance in Å.
Fractional positions:
Cu1 0.4088 0.0341 0.2789  6 Cu 2.47-2.54, 1 Te 2.62
Cu2 0.5713 0.6828 0.2904  7 Cu 2.47-2.59, 1 Te 2.64
Cu3 0.7583 0.3197 0.3025  8 Cu 2.53-2.63, 2 Te 2.67-2.69
Cu4 0.9085 0.9587 0.3194  10 Cu 2.48-2.60
Cu5 0.0779 0.6085 0.3325  10 Cu 2.48-2.60
Cu6 0.2479 0.2516 0.3486  11 Cu 2.50-2.60
Cu7 0.4147 0.8914 0.3628  12 Cu 2.50-2.56
Cu8 0.5852 0.5346 0.3774  12 Cu 2.52-2.62
Cu9 0.7511 0.1792 0.3919  12 Cu 2.52-2.63
Cu10 0.9188 0.8201 0.4064  12 Cu 2.51-2.57
Cu11 0.0854 0.4662 0.4206  12 Cu 2.51-2.60
Cu12 0.2516 0.1070 0.4348  12 Cu 2.52-2.57
Cu13 0.4195 0.7512 0.4497  12 Cu 2.52-2.56
Cu14 0.5836 0.3928 0.4641  12 Cu 2.52-2.56
Cu15 0.7512 0.0351 0.4784  12 Cu 2.53-2.57
Cu16 0.9173 0.6785 0.4933  12 Cu 2.52-2.57
Cu17 0.0827 0.3215 0.5067  12 Cu 2.52-2.57
Cu18 0.2488 0.9649 0.5216  12 Cu 2.53-2.57
Cu19 0.4164 0.6072 0.5359  12 Cu 2.52-2.56
Cu20 0.5805 0.2488 0.5503  12 Cu 2.52-2.56
Cu21 0.7484 0.8930 0.5652  12 Cu 2.52-2.57
Cu22 0.9146 0.5338 0.5794  12 Cu 2.51-2.60
Cu23 0.0812 0.1799 0.5936  12 Cu 2.51-2.57
Cu24 0.2489 0.8208 0.6081  12 Cu 2.52-2.63
Cu25 0.4148 0.4654 0.6226  12 Cu 2.52-2.62
Cu26 0.5853 0.1086 0.6372  12 Cu 2.50-2.56
Cu27 0.7521 0.7484 0.6514  11 Cu 2.50-2.60
Cu28 0.9221 0.3915 0.6675  10 Cu 2.48-2.60
Cu29 0.0915 0.0413 0.6806  10 Cu 2.48-2.60
Cu30 0.2417 0.6803 0.6975  8 Cu 2.53-2.63, 2 Te 2.67-2.69
Cu31 0.4287 0.3172 0.7096  7 Cu 2.47-2.59, 1 Te 2.64
Cu32 0.5912 0.9659 0.7211  6 Cu 2.47-2.54, 1 Te 2.62
Te1 0.2571 0.3933 0.2490  6 Cu 2.62-2.90
Te2 0.7429 0.6067 0.7510  6 Cu 2.62-2.90


(3)
Below is an optimized crystal structure of Cu7Te4, with properties calculated at the PBE level.

Values from the calculation:
symmetry	P-3m1

Cell: 8.3019 8.3019 7.2308 Å, 90.00 90.00 120.00°
Last column: nearest neighbours and their distance in Å.
Fractional positions:
Cu1 0.3333 0.6667 0.1278  3 Cu 2.59, 4 Te 2.66-2.70
Cu2 0.0342 0.5171 0.3281  6 Cu 2.53-2.83, 3 Te 2.58-2.72
Cu3 0.4829 0.5171 0.3281  6 Cu 2.53-2.83, 3 Te 2.58-2.72
Cu4 0.4829 0.9658 0.3281  6 Cu 2.53-2.83, 3 Te 2.58-2.72
Cu5 0.3465 0.1732 0.4300  6 Cu 2.60-2.83, 4 Te 2.64-2.84
Cu6 0.8268 0.1732 0.4300  6 Cu 2.60-2.83, 4 Te 2.64-2.84
Cu7 0.8268 0.6535 0.4300  6 Cu 2.60-2.83, 4 Te 2.64-2.84
Cu8 0.1732 0.3465 0.5700  6 Cu 2.60-2.83, 4 Te 2.64-2.84
Cu9 0.1732 0.8268 0.5700  6 Cu 2.60-2.83, 4 Te 2.64-2.84
Cu10 0.6535 0.8268 0.5700  6 Cu 2.60-2.83, 4 Te 2.64-2.84
Cu11 0.5171 0.0342 0.6719  6 Cu 2.53-2.83, 3 Te 2.58-2.72
Cu12 0.5171 0.4829 0.6719  6 Cu 2.53-2.83, 3 Te 2.58-2.72
Cu13 0.9658 0.4829 0.6719  6 Cu 2.53-2.83, 3 Te 2.58-2.72
Cu14 0.6667 0.3333 0.8722  3 Cu 2.59, 4 Te 2.66-2.70
Te1 0.1498 0.2995 0.2083  6 Cu 2.58-2.84
Te2 0.1498 0.8502 0.2083  6 Cu 2.58-2.84
Te3 0.7005 0.8502 0.2083  6 Cu 2.58-2.84
Te4 0.6667 0.3333 0.2403  7 Cu 2.66-2.72
Te5 0.3333 0.6667 0.7597  7 Cu 2.66-2.72
Te6 0.2995 0.1498 0.7917  6 Cu 2.58-2.84
Te7 0.8502 0.1498 0.7917  6 Cu 2.58-2.84
Te8 0.8502 0.7005 0.7917  6 Cu 2.58-2.84


(4)
Below is an optimized crystal structure of Cu7Te4, with properties calculated at the PBE level.

Values from the calculation:
symmetry	Pm

Cell: 7.2585 8.1797 36.1815 Å, 90.00 90.19 90.00°
Last column: nearest neighbours and their distance in Å.
Fractional positions:
Cu1 0.5645 0.2482 0.3261  3 Cu 2.45-2.65, 3 Te 2.52-2.67
Cu2 0.5645 0.7518 0.3261  3 Cu 2.45-2.65, 3 Te 2.52-2.67
Cu3 0.3821 0.5000 0.3457  4 Cu 2.55-2.56, 3 Te 2.69-2.78
Cu4 0.1210 0.0000 0.3496  2 Cu 2.58, 4 Te 2.63-2.73
Cu5 0.3132 0.2311 0.3790  5 Cu 2.56-2.65, 3 Te 2.58-2.65
Cu6 0.3132 0.7689 0.3790  5 Cu 2.56-2.65, 3 Te 2.58-2.65
Cu7 0.6629 0.2867 0.3903  5 Cu 2.45-2.72, 2 Te 2.54-2.60
Cu8 0.6629 0.7133 0.3903  5 Cu 2.45-2.72, 2 Te 2.54-2.60
Cu9 0.5766 0.0000 0.4108  4 Cu 2.54-2.71, 2 Te 2.68
Cu10 0.8776 0.5000 0.4175  3 Cu 2.54-2.59, 4 Te 2.61-2.79
Cu11 0.4296 0.2555 0.4484  6 Cu 2.59-2.84, 4 Te 2.66-2.84
Cu12 0.4296 0.7445 0.4484  6 Cu 2.59-2.84, 4 Te 2.66-2.84
Cu13 0.6729 0.5000 0.4758  4 Cu 2.53-2.59, 3 Te 2.58-2.75
Cu14 0.3315 0.5000 0.4894  6 Cu 2.53-2.83, 3 Te 2.58-2.72
Cu15 0.5751 0.2591 0.5169  6 Cu 2.57-2.83, 4 Te 2.66-2.81
Cu16 0.5751 0.7409 0.5169  6 Cu 2.57-2.83, 4 Te 2.66-2.81
Cu17 0.1296 0.5000 0.5496  3 Cu 2.54-2.63, 4 Te 2.62-2.80
Cu18 0.4323 0.0000 0.5499  4 Te 2.63-2.77, 4 Cu 2.63-2.65
Cu19 0.3539 0.2923 0.5761  6 Cu 2.50-2.79, 2 Te 2.57-2.64
Cu20 0.3539 0.7077 0.5761  6 Cu 2.50-2.79, 2 Te 2.57-2.64
Cu21 0.6961 0.2308 0.5873  5 Cu 2.52-2.77, 3 Te 2.57-2.65
Cu22 0.6961 0.7692 0.5873  5 Cu 2.52-2.77, 3 Te 2.57-2.65
Cu23 0.5895 0.5000 0.6152  6 Cu 2.54-2.79, 4 Te 2.70-2.79
Cu24 0.8749 0.0000 0.6166  3 Cu 2.52, 4 Te 2.59-2.75
Cu25 0.4324 0.2404 0.6423  5 Cu 2.50-2.77, 3 Te 2.60-2.70
Cu26 0.4324 0.7596 0.6423  5 Cu 2.50-2.77, 3 Te 2.60-2.70
Cu27 0.6240 0.0000 0.6644  4 Cu 2.37-2.54, 2 Te 2.50
Cu28 0.3063 0.0000 0.6795  3 Cu 2.37-2.55, 1 Te 2.50
Te1 0.2279 0.2482 0.3089  4 Cu 2.52-2.69
Te2 0.2279 0.7518 0.3089  4 Cu 2.52-2.69
Te3 0.7834 0.5000 0.3427  6 Cu 2.60-2.92
Te4 0.7546 0.0000 0.3460  4 Cu 2.56-2.68
Te5 0.2374 0.5000 0.4167  7 Cu 2.61-2.78
Te6 0.2120 0.0000 0.4230  6 Cu 2.58-2.77
Te7 0.7925 0.2200 0.4539  6 Cu 2.54-2.85
Te8 0.7925 0.7800 0.4539  6 Cu 2.54-2.85
Te9 0.2112 0.2225 0.5131  6 Cu 2.57-2.84
Te10 0.2112 0.7775 0.5131  6 Cu 2.57-2.84
Te11 0.7934 0.0000 0.5433  6 Cu 2.57-2.81
Te12 0.7685 0.5000 0.5494  7 Cu 2.62-2.75
Te13 0.2312 0.0000 0.6119  5 Cu 2.50-2.68
Te14 0.2202 0.5000 0.6250  6 Cu 2.64-2.80
Te15 0.7813 0.2708 0.6576  5 Cu 2.50-2.79
Te16 0.7813 0.7292 0.6576  5 Cu 2.50-2.79


(5)
Below is an optimized crystal structure of Cu10Te, with properties calculated at the PBE level.

Values from the calculation:
symmetry	P-1

Cell: 6.7423 8.7014 17.0224 Å, 92.59 91.37 91.26°
Last column: nearest neighbours and their distance in Å.
Fractional positions:
Cu1 0.6671 0.1851 0.1576  6 Cu 2.52-2.62, 2 Te 2.63-2.68
Cu2 0.6588 0.6953 0.1596  6 Cu 2.50-2.56, 2 Te 2.64-2.69
Cu3 0.3081 0.1114 0.1787  7 Cu 2.50-2.63, 2 Te 2.60-2.64
Cu4 0.3090 0.6083 0.1804  7 Cu 2.50-2.62, 1 Te 2.63
Cu5 0.9432 0.5218 0.1994  8 Cu 2.53-2.65, 2 Te 2.63-2.65
Cu6 0.9499 0.0169 0.2000  8 Cu 2.54-2.67, 2 Te 2.70-2.74
Cu7 0.5888 0.4436 0.2259  10 Cu 2.50-2.63
Cu8 0.5911 0.9474 0.2356  10 Cu 2.47-2.60, 1 Te 2.62
Cu9 0.2380 0.3619 0.2489  10 Cu 2.50-2.64, 1 Te 2.77
Cu10 0.2363 0.8602 0.2508  10 Cu 2.51-2.62
Cu11 0.8814 0.2782 0.2739  11 Cu 2.52-2.62
Cu12 0.8826 0.7787 0.2767  11 Cu 2.53-2.59
Cu13 0.5229 0.6945 0.2989  12 Cu 2.52-2.60
Cu14 0.5244 0.2014 0.2995  12 Cu 2.47-2.62
Cu15 0.1708 0.1142 0.3218  12 Cu 2.52-2.63
Cu16 0.1671 0.6127 0.3227  12 Cu 2.52-2.64
Cu17 0.8134 0.5313 0.3451  12 Cu 2.52-2.65
Cu18 0.8172 0.0348 0.3469  12 Cu 2.48-2.67
Cu19 0.4550 0.4503 0.3699  12 Cu 2.49-2.63
Cu20 0.4557 0.9505 0.3706  12 Cu 2.49-2.59
Cu21 0.1016 0.3676 0.3931  12 Cu 2.52-2.64
Cu22 0.1031 0.8683 0.3939  12 Cu 2.51-2.62
Cu23 0.7451 0.7864 0.4161  12 Cu 2.54-2.60
Cu24 0.7460 0.2871 0.4170  12 Cu 2.51-2.62
Cu25 0.3889 0.7041 0.4410  12 Cu 2.52-2.60
Cu26 0.3897 0.2049 0.4417  12 Cu 2.52-2.60
Cu27 0.0331 0.6228 0.4648  12 Cu 2.52-2.60
Cu28 0.0353 0.1230 0.4653  12 Cu 2.52-2.63
Cu29 0.6777 0.5410 0.4874  12 Cu 2.52-2.61
Cu30 0.6775 0.0411 0.4876  12 Cu 2.53-2.59
Cu31 0.3225 0.9589 0.5124  12 Cu 2.53-2.59
Cu32 0.3223 0.4590 0.5126  12 Cu 2.52-2.61
Cu33 0.9647 0.8770 0.5347  12 Cu 2.52-2.63
Cu34 0.9669 0.3772 0.5352  12 Cu 2.52-2.60
Cu35 0.6103 0.7951 0.5583  12 Cu 2.52-2.60
Cu36 0.6111 0.2959 0.5590  12 Cu 2.52-2.60
Cu37 0.2540 0.7129 0.5830  12 Cu 2.51-2.62
Cu38 0.2549 0.2136 0.5839  12 Cu 2.54-2.60
Cu39 0.8969 0.1317 0.6061  12 Cu 2.51-2.62
Cu40 0.8984 0.6324 0.6069  12 Cu 2.52-2.64
Cu41 0.5443 0.0495 0.6294  12 Cu 2.49-2.59
Cu42 0.5450 0.5497 0.6301  12 Cu 2.49-2.63
Cu43 0.1828 0.9652 0.6531  12 Cu 2.48-2.67
Cu44 0.1866 0.4687 0.6549  12 Cu 2.52-2.65
Cu45 0.8329 0.3873 0.6773  12 Cu 2.52-2.64
Cu46 0.8292 0.8858 0.6782  12 Cu 2.52-2.63
Cu47 0.4756 0.7986 0.7005  12 Cu 2.47-2.62
Cu48 0.4771 0.3055 0.7011  12 Cu 2.52-2.60
Cu49 0.1174 0.2213 0.7233  11 Cu 2.53-2.59
Cu50 0.1186 0.7218 0.7261  11 Cu 2.52-2.62
Cu51 0.7637 0.1398 0.7492  10 Cu 2.51-2.62
Cu52 0.7620 0.6381 0.7511  10 Cu 2.50-2.64, 1 Te 2.77
Cu53 0.4089 0.0526 0.7644  10 Cu 2.47-2.60, 1 Te 2.62
Cu54 0.4112 0.5564 0.7741  10 Cu 2.50-2.63
Cu55 0.0501 0.9831 0.8000  8 Cu 2.54-2.67, 2 Te 2.70-2.74
Cu56 0.0568 0.4782 0.8006  8 Cu 2.53-2.65, 2 Te 2.63-2.65
Cu57 0.6910 0.3917 0.8196  7 Cu 2.50-2.62, 1 Te 2.63
Cu58 0.6919 0.8886 0.8213  7 Cu 2.50-2.63, 2 Te 2.60-2.64
Cu59 0.3412 0.3047 0.8404  6 Cu 2.50-2.56, 2 Te 2.64-2.69
Cu60 0.3329 0.8149 0.8424  6 Cu 2.52-2.62, 2 Te 2.63-2.68
Te1 0.5061 0.9322 0.0843  4 Cu 2.60-2.69
Te2 0.0212 0.7580 0.1129  5 Cu 2.63-2.83
Te3 0.0227 0.2695 0.1135  6 Cu 2.63-2.91
Te4 0.9773 0.7305 0.8865  6 Cu 2.63-2.91
Te5 0.9788 0.2420 0.8871  5 Cu 2.63-2.83
Te6 0.4939 0.0678 0.9157  4 Cu 2.60-2.69


(6)
Below is an optimized crystal structure of Cu15Te8, with properties calculated at the PBE level.

Values from the calculation:
symmetry	P3m1

Cell: 8.3638 8.3638 7.2192 Å, 90.00 90.00 120.00°
Last column: nearest neighbours and their distance in Å.
Fractional positions:
Cu1 0.6667 0.3333 0.1294  3 Cu 2.61, 4 Te 2.68-2.70
Cu2 0.3646 0.1823 0.3273  6 Cu 2.54-2.83, 3 Te 2.59-2.69
Cu3 0.8177 0.1823 0.3273  6 Cu 2.54-2.83, 3 Te 2.59-2.69
Cu4 0.8177 0.6354 0.3273  6 Cu 2.54-2.83, 3 Te 2.59-2.69
Cu5 0.1653 0.3306 0.4340  7 Cu 2.64-2.86, 4 Te 2.68-2.83
Cu6 0.1653 0.8347 0.4340  7 Cu 2.64-2.86, 4 Te 2.68-2.83
Cu7 0.6694 0.8347 0.4340  7 Cu 2.64-2.86, 4 Te 2.68-2.83
Cu8 0.5110 0.0221 0.5700  7 Cu 2.58-2.83, 2 Te 2.63
Cu9 0.5110 0.4890 0.5700  7 Cu 2.58-2.83, 2 Te 2.63
Cu10 0.9779 0.4890 0.5700  7 Cu 2.58-2.83, 2 Te 2.63
Cu11 0.3333 0.6667 0.5867  6 Cu 2.58-2.67, 3 Te 2.73
Cu12 0.8515 0.1485 0.6725  4 Cu 2.54-2.64, 3 Te 2.59-2.75
Cu13 0.2971 0.1485 0.6725  4 Cu 2.54-2.64, 3 Te 2.59-2.75
Cu14 0.8515 0.7029 0.6725  4 Cu 2.54-2.64, 3 Te 2.59-2.75
Cu15 0.0000 0.0000 0.8851  3 Cu 2.64, 4 Te 2.66-2.67
Te1 0.0305 0.5153 0.2091  6 Cu 2.59-2.83
Te2 0.4847 0.5153 0.2091  6 Cu 2.59-2.83
Te3 0.4847 0.9695 0.2091  6 Cu 2.59-2.83
Te4 0.0000 0.0000 0.2545  7 Cu 2.67-2.72
Te5 0.6667 0.3333 0.7586  7 Cu 2.63-2.75
Te6 0.1790 0.3580 0.8047  5 Cu 2.59-2.73
Te7 0.1790 0.8210 0.8047  5 Cu 2.59-2.73
Te8 0.6420 0.8210 0.8047  5 Cu 2.59-2.73


Number 1: distance to the lowest polymorph of the same formula 95 meV/atom. Number 2: distance to the lowest polymorph of the same formula 37 meV/atom. Number 3: distance to the lowest polymorph of the same formula 0 meV/atom. Number 4: distance to the lowest polymorph of the same formula 73 meV/atom. Number 5: distance to the lowest polymorph of the same formula 38 meV/atom. Number 6: distance to the lowest polymorph of the same formula 0 meV/atom.